CaCr2HgO8: optimized geometry, PBE+U.

Calculated values
total magnetization: 0.0 μB per formula unit
space-group type: No. 119
raw total energy: -73.55 eV/f.u.

Cell lengths 6.0723, 6.0723, 6.0723 Å; angles 106.43, 106.43, 115.73 degrees
With the nearest neighbours (Å) after each atom.
Sites, in units of the cell vectors:
Ca  0.2500  0.7500  0.5000  8 O 2.37-2.56
Cr  0.7500  0.2500  0.5000  4 O 1.67
Cr  0.5000  0.5000  0.0000  4 O 1.67
Hg  0.0000  0.0000  0.0000  8 O 2.39-2.62
O  0.4096  0.0904  0.3191  1 Cr 1.67
O  0.3477  0.5329  0.1852  1 Cr 1.67
O  0.3477  0.1625  0.8148  1 Cr 1.67
O  0.7713  0.0904  0.6809  1 Cr 1.67
O  0.8375  0.6523  0.1852  1 Cr 1.67
O  0.9096  0.2287  0.3191  1 Cr 1.67
O  0.9096  0.5904  0.6809  1 Cr 1.67
O  0.4671  0.6523  0.8148  1 Cr 1.67